Record 1
Rb3Na4Sn | PBE | optimized geometry

DOS(E_F) = 8.37 states/eV/cell
V = 51.6 Å³ per atom
ΔE_f = -0.01 eV per atom

Lattice parameters (Å, degrees): 7.030 8.032 14.634 90.00 90.00 90.00
Space group Imm2 (No. 44)
Unique sites:
Rb: 0.000 0.000 0.000 x2
Rb: 0.000 0.239 0.341 x4
Na: 0.000 0.274 0.709 x4
Na: 0.240 0.500 0.065 x4
Sn: 0.000 0.500 0.884 x2

Record 2
MgScPa2N5 | PBE | optimized geometry

formation energy (no corrections) = -1205 kJ/mol of formula units
V = 13.5 Å³ per atom

Lattice parameters (Å, degrees): 3.447 13.526 10.423 90.00 90.00 90.00
Space group Cmc2_1 (No. 36)
Unique sites:
Mg: 0.000 0.016 0.000 x4
Sc: 0.000 0.283 0.508 x4
Pa: 0.000 0.371 0.213 x4
Pa: 0.000 0.375 0.772 x4
N: 0.000 0.018 0.302 x4
N: 0.000 0.133 0.574 x4
N: 0.000 0.201 0.860 x4
N: 0.000 0.213 0.169 x4
N: 0.000 0.434 0.579 x4

Record 3
NdAlGaAu | PBE | optimized geometry

DOS(E_F) = 4.05 states/eV/cell
V = 21.2 Å³ per atom
ΔE_f = -0.50 eV per atom

Lattice parameters (Å, degrees): 6.978 6.978 6.978 90.00 90.00 90.00
Space group F-43m (No. 216)
Unique sites:
Nd: 0.000 0.000 0.000 x4
Al: 0.000 0.000 0.500 x4
Ga: 0.250 0.250 0.250 x4
Au: 0.250 0.250 0.750 x4

Record 4
CoB3P | PBE | optimized geometry

E above lowest polymorph = 185.5 kJ/mol of formula units
DOS(E_F) = 5.22 states/eV/cell
V = 11.1 Å³ per atom
ΔE_f = 1.65 eV per atom

Lattice parameters (Å, degrees): 3.811 3.811 3.811 90.00 90.00 90.00
Space group Pm-3m (No. 221)
Unique sites:
Co: 0.000 0.000 0.000 x1
B: 0.000 0.500 0.500 x3
P: 0.500 0.500 0.500 x1

Record 5
Y2Cr | PBE | optimized geometry

DOS(E_F) = 12.81 states/eV/cell
V = 28.0 Å³ per atom
ΔE_f = 0.50 eV per atom

Lattice parameters (Å, degrees): 6.950 6.950 6.950 90.00 90.00 90.00
Space group Pa-3 (No. 205)
Unique sites:
Y: 0.159 0.159 0.159 x8
Cr: 0.000 0.000 0.500 x4

Record 6
KGePd | PBE | optimized geometry

E above lowest polymorph = 37.0 kJ/mol of formula units
DOS(E_F) = 8.40 states/eV/cell
V = 30.3 Å³ per atom
ΔE_f = -0.23 eV per atom

Lattice parameters (Å, degrees): 4.1833 4.1833 35.9984 90.00 90.00 120.00
Space group R-3m (No. 166, hexagonal axes)
Unique sites:
K: 0.0000 0.0000 0.1082 x6
Ge: 0.0000 0.0000 0.2896 x6
Pd: 0.0000 0.0000 0.3591 x6

Record 7
Li2Pm2Cl7 | PBE | optimized geometry

formation energy (no corrections) = -2055 kJ/mol of formula units
V = 30.0 Å³ per atom

Lattice parameters (Å, degrees): 8.456 10.803 7.306 90.00 99.09 90.00
Space group C2/m (No. 12)
Unique sites:
Li: 0.235 0.000 0.407 x4
Pm: 0.000 0.330 0.000 x4
Cl: 0.000 0.000 0.500 x2
Cl: 0.092 0.500 0.281 x4
Cl: 0.239 0.178 0.198 x8

Record 8
Tb2Nd6Er3Sc | PBE | optimized geometry

DOS(E_F) = 26.20 states/eV/cell
V = 32.4 Å³ per atom
ΔE_f = 0.02 eV per atom

Lattice parameters (Å, degrees): 6.229 10.788 11.742 90.00 100.17 90.00
Space group C2/m (No. 12)
Unique sites:
Tb: 0.000 0.167 0.000 x4
Nd: 0.248 0.335 0.249 x8
Nd: 0.248 0.500 0.751 x4
Er: 0.000 0.000 0.500 x2
Er: 0.000 0.333 0.500 x4
Sc: 0.000 0.500 0.000 x2

Record 9
NiIr5S8 | PBE | optimized geometry

DOS(E_F) = 34.69 states/eV/cell
formation energy (no corrections) = -397 kJ/mol of formula units
V = 17.0 Å³ per atom

Lattice parameters (Å, degrees): 9.835 9.835 9.835 90.00 90.00 90.00
Space group F-43m (No. 216)
Unique sites:
Ni: 0.000 0.000 0.000 x4
Ir: 0.127 0.127 0.627 x16
Ir: 0.250 0.250 0.250 x4
S: 0.116 0.116 0.384 x16
S: 0.131 0.131 0.869 x16

Record 10
BaMgNi2B | PBE | optimized geometry

DOS(E_F) = 3.87 states/eV/cell
V = 19.0 Å³ per atom
ΔE_f = 0.62 eV per atom

Lattice parameters (Å, degrees): 4.230 4.230 5.310 90.00 90.00 90.00
Space group P4/mmm (No. 123)
Unique sites:
Ba: 0.000 0.000 0.000 x1
Mg: 0.500 0.500 0.000 x1
Ni: 0.000 0.500 0.500 x2
B: 0.000 0.000 0.500 x1

Record 11
NdSm2As | PBE | optimized geometry

E above lowest polymorph = 0.0 kJ/mol of formula units
DOS(E_F) = 13.07 states/eV/cell
V = 32.5 Å³ per atom
ΔE_f = -0.62 eV per atom

Lattice parameters (Å, degrees): 3.9718 3.9718 28.5421 90.00 90.00 120.00
Space group R3m (No. 160, hexagonal axes)
Unique sites:
Nd: 0.0000 0.0000 0.0000 x3
Sm: 0.0000 0.0000 0.5612 x3
Sm: 0.0000 0.0000 0.7716 x3
As: 0.0000 0.0000 0.1661 x3

Record 12
Rb2NdNpSe4 | PBE | optimized geometry

DOS(E_F) = 9.43 states/eV/cell
formation energy (no corrections) = -1139 kJ/mol of formula units
V = 32.8 Å³ per atom

Lattice parameters (Å, degrees): 7.532 4.356 8.392 90.00 107.50 90.00
Space group P2/m (No. 10)
Unique sites:
Rb: 0.000 0.000 0.000 x1
Rb: 0.500 0.500 0.000 x1
Nd: 0.000 0.500 0.500 x1
Np: 0.500 0.000 0.500 x1
Se: 0.237 0.000 0.701 x2
Se: 0.273 0.500 0.303 x2